<1>
ScTe2W after structural relaxation. Source: Alexandria, functional GGA-PBEsol.

M_tot = 0.000 μB/cell
symmetry = No. 216

Cell lengths 4.9002, 4.9002, 4.9002 Å; angles 60.00, 60.00, 60.00 degrees
Sites, in units of the cell vectors:
Sc1 0.0000 0.0000 0.0000
Te1 0.5000 0.5000 0.5000
Te2 0.7500 0.7500 0.7500
W1 0.2500 0.2500 0.2500

<2>
ScTe2W after structural relaxation. Source: Alexandria, functional GGA-PBEsol.

M_tot = 0.000 μB/cell
symmetry = No. 25

Cell lengths 3.4873, 5.2108, 4.6105 Å; angles 90.00, 90.00, 90.00 degrees
Sites, in units of the cell vectors:
Sc1 0.0000 0.0000 0.0000
Te1 0.0000 0.5000 0.7853
Te2 0.5000 0.0000 0.4757
W1 0.5000 0.5000 0.2612

Which of them is the least stable? Correct choice: <1>.

<1>
YScTe2 after structural relaxation. Source: Alexandria, functional GGA-PBEsol.

M_tot = 0.853 μB/cell
symmetry = No. 44

Cell lengths 7.3723, 7.3723, 7.3723 Å; angles 149.44, 148.87, 44.18 degrees
Sites, in units of the cell vectors:
Y1 0.0000 0.0000 0.0000
Sc1 0.2461 0.7461 0.5000
Te1 0.4052 0.4052 0.0000
Te2 0.6681 0.1681 0.5000

<2>
YScTe2 after structural relaxation. Source: Alexandria, functional GGA-PBEsol.

M_tot = 0.000 μB/cell
symmetry = No. 166

Cell lengths 7.3025, 7.3025, 7.3025 Å; angles 33.37, 33.37, 33.37 degrees
Sites, in units of the cell vectors:
Y1 0.0000 0.0000 0.0000
Sc1 0.5000 0.5000 0.5000
Te1 0.2448 0.2448 0.2448
Te2 0.7552 0.7552 0.7552

Which of them is the least stable? Correct choice: <1>.

<1>
YScTe2 after structural relaxation. Source: Alexandria, functional GGA-PBEsol.

M_tot = 0.001 μB/cell
symmetry = No. 123

Cell lengths 4.2120, 4.2120, 5.9666 Å; angles 90.00, 90.00, 90.00 degrees
Sites, in units of the cell vectors:
Y1 0.0000 0.0000 0.0000
Sc1 0.5000 0.5000 0.5000
Te1 0.0000 0.0000 0.5000
Te2 0.5000 0.5000 0.0000

<2>
YScTe2 after structural relaxation. Source: Alexandria, functional GGA-PBEsol.

M_tot = 0.000 μB/cell
symmetry = No. 99

Cell lengths 4.1064, 4.1064, 6.2030 Å; angles 90.00, 90.00, 90.00 degrees
Sites, in units of the cell vectors:
Y1 0.0000 0.0000 0.0000
Sc1 0.5000 0.5000 0.3712
Te1 0.0000 0.0000 0.4816
Te2 0.5000 0.5000 0.8923

Which of them is the least stable? Correct choice: <1>.